The following is a DFT calculation (PBEsol) of a relaxed SnSbTe2P crystal.

- electronic total energy (eV/atom) = -3.188
- theoretical density (Mg/m³) = 5.22
- DOS(E_F) (states/eV/f.u.) = 6.0
- uncorrected formation energy (meV per atom) = 1144
- volume (Å³ per cell) = 167.6

abc: 5.5014 5.5014 5.5379
angles: 90.00 90.00 90.00
With the nearest neighbours (Å) after each atom.
Space group P4/mmm (No. 123)
Asymmetric unit:
Sn 0.0000 0.0000 0.0000 (multiplicity 1)  4 Te 2.75, 2 Sb 2.77
Sb 0.0000 0.0000 0.5000 (multiplicity 1)  2 Sn 2.77
Te 0.0000 0.5000 0.0000 (multiplicity 2)  2 Sn 2.75
P 0.5000 0.5000 0.5000 (multiplicity 1)  4 Sb 3.89, 8 Te 3.90